# 1
First-principles (GGA-PBE) data for BeTc2W after structural relaxation, as listed in Alexandria via LeMat-Bulk.

Lattice parameters (Å, degrees): 4.9945 4.9945 4.1784 65.33 65.33 35.85
Element x y z (fractional)
Tc (0.0034, 0.0034, 0.9960)
W (0.4993, 0.4993, 0.5003)
Tc (0.2508, 0.2508, 0.2494)
Be (0.7464, 0.7464, 0.7543)

calculated volume	13.71	A^3/atom
space-group type	Cm, No. 8
crystal system	monoclinic
formation energy	0.02	eV/atom



# 2
First-principles (GGA-PBE) data for BeTc2W after structural relaxation, as listed in Alexandria via LeMat-Bulk.

Lattice parameters (Å, degrees): 3.1216 3.1216 5.6319 90.00 90.00 90.00
Element x y z (fractional)
Tc (0.0000, 0.0000, 0.9556)
W (0.0000, 0.0000, 0.5187)
Tc (0.5000, 0.5000, 0.2648)
Be (0.5000, 0.5000, 0.7610)

calculated volume	13.72	A^3/atom
space-group type	P4mm, No. 99
crystal system	tetragonal
formation energy	0.06	eV/atom



# 3
First-principles (GGA-PBE) data for BeTcW2 after structural relaxation, as listed in Alexandria via LeMat-Bulk.

Lattice parameters (Å, degrees): 5.0187 5.0187 4.3319 64.33 64.33 36.09
Element x y z (fractional)
W (0.9969, 0.9969, 0.0032)
Be (0.5050, 0.5050, 0.4949)
Tc (0.2504, 0.2504, 0.2494)
W (0.7478, 0.7478, 0.7525)

calculated volume	14.30	A^3/atom
space-group type	Cm, No. 8
crystal system	monoclinic
formation energy	0.15	eV/atom



# 4
First-principles (GGA-PBE) data for BeTcW2 after structural relaxation, as listed in Alexandria via LeMat-Bulk.

Lattice parameters (Å, degrees): 8.6134 8.6134 8.6134 18.74 18.74 18.74
Element x y z (fractional)
W (0.9956, 0.9956, 0.9956)
Be (0.2500, 0.2500, 0.2500)
W (0.5044, 0.5044, 0.5044)
Tc (0.7500, 0.7500, 0.7500)

calculated volume	14.40	A^3/atom
space-group type	R-3m, No. 166
crystal system	trigonal
formation energy	0.33	eV/atom



# 5
First-principles (GGA-PBE) data for BeTcW2 after structural relaxation, as listed in Alexandria via LeMat-Bulk.

Lattice parameters (Å, degrees): 3.2881 4.1718 4.1553 90.00 90.00 90.00
Element x y z (fractional)
W (0.5000, 0.5000, 0.0000)
Be (0.5000, 0.0000, 0.5000)
W (0.0000, 0.0000, 0.0000)
Tc (0.0000, 0.5000, 0.5000)

calculated volume	14.25	A^3/atom
space-group type	Pmmm, No. 47
crystal system	orthorhombic
formation energy	0.17	eV/atom



# 6
First-principles (GGA-PBE) data for BeTcW2 after structural relaxation, as listed in Alexandria via LeMat-Bulk.

Lattice parameters (Å, degrees): 3.1467 3.1467 5.6821 90.00 90.00 90.00
Element x y z (fractional)
W (0.0000, 0.0000, 0.4740)
Tc (0.5000, 0.5000, 0.7500)
Be (0.5000, 0.5000, 0.2500)
W (0.0000, 0.0000, 0.0260)

calculated volume	14.07	A^3/atom
space-group type	P4/mmm, No. 123
crystal system	tetragonal
formation energy	0.17	eV/atom



# 7
First-principles (GGA-PBE) data for BeTc2W after structural relaxation, as listed in Alexandria via LeMat-Bulk.

Lattice parameters (Å, degrees): 8.1181 8.1181 8.1181 20.05 20.05 20.05
Element x y z (fractional)
Tc (0.0090, 0.0090, 0.0090)
Be (0.7500, 0.7500, 0.7500)
Tc (0.4910, 0.4910, 0.4910)
W (0.2500, 0.2500, 0.2500)

calculated volume	13.76	A^3/atom
space-group type	R-3m, No. 166
crystal system	trigonal
formation energy	0.18	eV/atom



# 8
First-principles (GGA-PBE) data for BeTc3W after structural relaxation, as listed in Alexandria via LeMat-Bulk.

Lattice parameters (Å, degrees): 4.6933 4.6933 4.6933 90.00 90.00 90.00
Each line ends with the local moment (μB).
Element x y z (fractional)
Be (0.5000, 0.5000, 0.5000)  -0.05
Tc (0.0000, 0.5000, 0.0000)  0.74
W (0.0000, 0.0000, 0.0000)  -0.11
Tc (0.0000, 0.0000, 0.5000)  0.74
Tc (0.5000, 0.0000, 0.0000)  0.75

calculated volume	20.68	A^3/atom
space-group type	Pm-3m, No. 221
polymorph energy (0 for the lowest one)	1.532	eV/atom
crystal system	cubic
formation energy	2.03	eV/atom



# 9
First-principles (GGA-PBE) data for BeTcW2 after structural relaxation, as listed in Alexandria via LeMat-Bulk.

Lattice parameters (Å, degrees): 7.2527 7.2527 5.6099 49.73 49.73 90.00
Element x y z (fractional)
W (0.8750, 0.7854, 0.7500)
W (0.2146, 0.6250, 0.2500)
W (0.5354, 0.1250, 0.2500)
Tc (0.7500, 0.2500, 0.5000)
W (0.3750, 0.4646, 0.7500)
Tc (0.0000, 0.0000, 0.0000)
Be (0.5000, 0.5000, 0.0000)
Be (0.2500, 0.7500, 0.5000)

calculated volume	14.95	A^3/atom
space-group type	I-42d, No. 122
crystal system	tetragonal
formation energy	0.78	eV/atom



# 10
First-principles (GGA-PBE) data for BeTc2W after structural relaxation, as listed in Alexandria via LeMat-Bulk.

Lattice parameters (Å, degrees): 4.2060 2.6643 5.0599 80.70 90.00 90.00
Element x y z (fractional)
W (0.5000, 0.2500, 0.2500)
Be (0.5000, 0.7500, 0.7500)
Tc (0.0000, 0.0221, 0.9852)
Tc (0.0000, 0.4779, 0.5148)

calculated volume	13.99	A^3/atom
space-group type	P2/m, No. 10
crystal system	monoclinic
formation energy	0.10	eV/atom



# 11
First-principles (GGA-PBE) data for BeTcW2 after structural relaxation, as listed in Alexandria via LeMat-Bulk.

Lattice parameters (Å, degrees): 4.2822 2.6916 5.0963 79.61 90.00 90.00
Element x y z (fractional)
Be (0.0000, 0.5751, 0.4955)
W (0.0000, 0.9771, 0.9892)
Tc (0.5000, 0.7334, 0.7462)
W (0.5000, 0.2144, 0.2691)

calculated volume	14.44	A^3/atom
space-group type	Pm, No. 6
crystal system	monoclinic
formation energy	0.16	eV/atom



# 12
First-principles (GGA-PBE) data for Be3TcW after structural relaxation, as listed in Alexandria via LeMat-Bulk.

Lattice parameters (Å, degrees): 3.9975 3.9975 3.9975 90.00 90.00 90.00
Element x y z (fractional)
Tc (0.0000, 0.0000, 0.0000)
Be (0.0000, 0.0000, 0.5000)
Be (0.5000, 0.0000, 0.0000)
W (0.5000, 0.5000, 0.5000)
Be (0.0000, 0.5000, 0.0000)

calculated volume	12.78	A^3/atom
space-group type	Pm-3m, No. 221
polymorph energy (0 for the lowest one)	0.000	eV/atom
crystal system	cubic
formation energy	1.10	eV/atom